P.
{"formula": "KReI2", "functional": "PBE", "state": "optimized geometry", "dos_ef_per_ev_fu": 1.0, "space_group": "I-42d (122)", "rho_g_cm3": 5.8, "m_tot_mub_per_cell": 0.00, "lattice": [[-4.333, 4.333, 3.667], [4.333, -4.333, 3.667], [4.333, 4.333, -3.667]], "species": ["K", "K", "Re", "Re", "I", "I", "I", "I"], "frac_coords": [[0.000, 0.000, 0.000], [0.750, 0.250, 0.500], [0.250, 0.750, 0.500], [0.500, 0.500, 0.000], [0.243, 0.625, 0.118], [0.375, 0.493, 0.618], [0.507, 0.125, 0.882], [0.875, 0.757, 0.382]]}

Q.
{"formula": "KReI2", "functional": "PBE", "state": "optimized geometry", "dos_ef_per_ev_fu": 7.0, "space_group": "Fm-3m (225)", "rho_g_cm3": 7.5, "m_tot_mub_per_cell": 2.00, "lattice": [[0.000, 3.756, 3.756], [3.756, 0.000, 3.756], [3.756, 3.756, 0.000]], "species": ["K", "Re", "I", "I"], "frac_coords": [[0.000, 0.000, 0.000], [0.500, 0.500, 0.500], [0.250, 0.250, 0.250], [0.750, 0.750, 0.750]]}

Tell me which of them is the most stable. Sure, it is P.

P.
{"formula": "K2Re2I", "functional": "PBE", "state": "optimized geometry", "dos_ef_per_ev_fu": 4.1, "space_group": "P4/mbm (127)", "rho_g_cm3": 5.9, "m_tot_mub_per_cell": 0.00, "lattice": [[10.580, 0.000, 0.000], [0.000, 10.580, 0.000], [0.000, 0.000, 2.894]], "species": ["K", "K", "K", "K", "Re", "Re", "Re", "Re", "I", "I"], "frac_coords": [[0.205, 0.295, 0.000], [0.295, 0.795, 0.000], [0.705, 0.205, 0.000], [0.795, 0.705, 0.000], [0.073, 0.573, 0.500], [0.427, 0.073, 0.500], [0.573, 0.927, 0.500], [0.927, 0.427, 0.500], [0.000, 0.000, 0.000], [0.500, 0.500, 0.000]]}

Q.
{"formula": "K2Re2I", "functional": "PBE", "state": "optimized geometry", "dos_ef_per_ev_fu": 4.2, "space_group": "I4/mmm (139)", "rho_g_cm3": 6.7, "m_tot_mub_per_cell": 0.00, "lattice": [[-1.801, 1.801, 10.992], [1.801, -1.801, 10.992], [1.801, 1.801, -10.992]], "species": ["K", "K", "Re", "Re", "I"], "frac_coords": [[0.106, 0.106, 0.000], [0.894, 0.894, 0.000], [0.250, 0.750, 0.500], [0.750, 0.250, 0.500], [0.500, 0.500, 0.000]]}

Tell me which of them is the most stable. Sure, it is Q.

P.
{"formula": "KReTeI2", "functional": "PBE", "state": "optimized geometry", "dos_ef_per_ev_fu": 9.0, "space_group": "P4/mmm (123)", "rho_g_cm3": 3.9, "m_tot_mub_per_cell": 3.17, "lattice": [[6.354, 0.000, 0.000], [0.000, 6.354, 0.000], [0.000, 0.000, 6.437]], "species": ["K", "Re", "Te", "I", "I"], "frac_coords": [[0.000, 0.000, 0.000], [0.000, 0.000, 0.500], [0.500, 0.500, 0.500], [0.000, 0.500, 0.000], [0.500, 0.000, 0.000]]}

Q.
{"formula": "KReTeI2", "functional": "PBE", "state": "optimized geometry", "dos_ef_per_ev_fu": 2.4, "space_group": "P4/mmm (123)", "rho_g_cm3": 5.8, "m_tot_mub_per_cell": 0.84, "lattice": [[5.862, 0.000, 0.000], [0.000, 5.862, 0.000], [0.000, 0.000, 5.087]], "species": ["K", "Re", "Te", "I", "I"], "frac_coords": [[0.000, 0.000, 0.000], [0.500, 0.500, 0.500], [0.500, 0.500, 0.000], [0.000, 0.500, 0.500], [0.500, 0.000, 0.500]]}

R.
{"formula": "KReTeI2", "functional": "PBE", "state": "optimized geometry", "dos_ef_per_ev_fu": 4.8, "space_group": "P4/mmm (123)", "rho_g_cm3": 3.9, "m_tot_mub_per_cell": 3.96, "lattice": [[6.403, 0.000, 0.000], [0.000, 6.403, 0.000], [0.000, 0.000, 6.326]], "species": ["K", "Re", "Te", "I", "I"], "frac_coords": [[0.000, 0.000, 0.000], [0.500, 0.500, 0.500], [0.000, 0.000, 0.500], [0.000, 0.500, 0.000], [0.500, 0.000, 0.000]]}

Tell me which of them is the most stable. Sure, it is Q.

P.
{"formula": "KRh2I2", "functional": "PBE", "state": "optimized geometry", "dos_ef_per_ev_fu": 6.6, "space_group": "I4/mmm (139)", "rho_g_cm3": 6.2, "m_tot_mub_per_cell": 1.91, "lattice": [[-2.166, 2.166, 7.109], [2.166, -2.166, 7.109], [2.166, 2.166, -7.109]], "species": ["K", "Rh", "Rh", "I", "I"], "frac_coords": [[0.000, 0.000, 0.000], [0.250, 0.750, 0.500], [0.750, 0.250, 0.500], [0.363, 0.363, 0.000], [0.637, 0.637, 0.000]]}

Q.
{"formula": "KRh2I2", "functional": "PBE", "state": "optimized geometry", "dos_ef_per_ev_fu": 5.6, "space_group": "P4/mbm (127)", "rho_g_cm3": 6.9, "m_tot_mub_per_cell": 1.68, "lattice": [[8.375, 0.000, 0.000], [0.000, 8.375, 0.000], [0.000, 0.000, 3.444]], "species": ["K", "K", "Rh", "Rh", "Rh", "Rh", "I", "I", "I", "I"], "frac_coords": [[0.000, 0.000, 0.000], [0.500, 0.500, 0.000], [0.115, 0.385, 0.500], [0.385, 0.885, 0.500], [0.615, 0.115, 0.500], [0.885, 0.615, 0.500], [0.163, 0.663, 0.000], [0.337, 0.163, 0.000], [0.663, 0.837, 0.000], [0.837, 0.337, 0.000]]}

Tell me which of them is the most stable. Sure, it is P.

P.
{"formula": "KTe2RhI", "functional": "PBE", "state": "optimized geometry", "dos_ef_per_ev_fu": 7.5, "space_group": "P4/mmm (123)", "rho_g_cm3": 3.5, "m_tot_mub_per_cell": 4.99, "lattice": [[6.325, 0.000, 0.000], [0.000, 6.325, 0.000], [0.000, 0.000, 6.298]], "species": ["K", "Te", "Te", "Rh", "I"], "frac_coords": [[0.000, 0.000, 0.000], [0.000, 0.500, 0.000], [0.500, 0.000, 0.000], [0.500, 0.500, 0.500], [0.000, 0.000, 0.500]]}

Q.
{"formula": "KTe2RhI", "functional": "PBE", "state": "optimized geometry", "dos_ef_per_ev_fu": 6.3, "space_group": "P4/mmm (123)", "rho_g_cm3": 5.3, "m_tot_mub_per_cell": 0.64, "lattice": [[5.260, 0.000, 0.000], [0.000, 5.260, 0.000], [0.000, 0.000, 5.917]], "species": ["K", "Te", "Te", "Rh", "I"], "frac_coords": [[0.000, 0.000, 0.000], [0.000, 0.500, 0.500], [0.500, 0.000, 0.500], [0.500, 0.500, 0.500], [0.500, 0.500, 0.000]]}

Tell me which of them is the most stable. Sure, it is Q.

P.
{"formula": "KTeRhI2", "functional": "PBE", "state": "optimized geometry", "dos_ef_per_ev_fu": 3.8, "space_group": "P4/mmm (123)", "rho_g_cm3": 5.1, "m_tot_mub_per_cell": 0.00, "lattice": [[5.787, 0.000, 0.000], [0.000, 5.787, 0.000], [0.000, 0.000, 5.086]], "species": ["K", "Te", "Rh", "I", "I"], "frac_coords": [[0.000, 0.000, 0.000], [0.500, 0.500, 0.000], [0.500, 0.500, 0.500], [0.000, 0.500, 0.500], [0.500, 0.000, 0.500]]}

Q.
{"formula": "KTeRhI2", "functional": "PBE", "state": "optimized geometry", "dos_ef_per_ev_fu": 17.5, "space_group": "P4/mmm (123)", "rho_g_cm3": 3.4, "m_tot_mub_per_cell": 4.05, "lattice": [[6.361, 0.000, 0.000], [0.000, 6.361, 0.000], [0.000, 0.000, 6.352]], "species": ["K", "Te", "Rh", "I", "I"], "frac_coords": [[0.000, 0.000, 0.000], [0.000, 0.000, 0.500], [0.500, 0.500, 0.500], [0.000, 0.500, 0.000], [0.500, 0.000, 0.000]]}

Tell me which of them is the most stable. Sure, it is P.